Here is RbIn2As2 after structural relaxation from Alexandria. Energies are from PBE-GGA.

Properties
DFT formation energy in eV per atom: -0.05

a = 8.7915 Å, b = 8.7915 Å, c = 3.4875 Å
α = 90.00°, β = 90.00°, γ = 90.00°
Closest atoms and distances in Å follow each position.
Space group P4/mbm (No. 127)
One atom of each set of equivalent atoms:
Rb 0.0000 0.0000 0.0000  4 In 3.46, 2 Rb 3.49, 8 As 3.73
In 0.1286 0.3714 0.0000  6 As 3.11-3.13, 1 In 3.20, 2 Rb 3.46
As 0.1628 0.6628 0.5000  6 In 3.11-3.13